[1]
## CaPmPu4 (PBE)

Data for a relaxed CaPmPu4 crystal.

magnetization	24.6	μB/f.u.
DOS(E_F)	4.96	states/eV/atom
ΔE_f	0.304	eV/atom
calculated density	10.613	g/cm3
V	181.7	Å³/cell

Unit cell a=6.357 b=6.357 c=6.357 alpha=60.00 beta=60.00 gamma=60.00
Last column: magnetic moment on the atom in μB.
Element x y z (fractional)
Ca  0.250  0.250  0.250  0.07
Pm  0.000  0.000  0.000  0.11
Pu  0.625  0.625  0.124  5.59
Pu  0.625  0.124  0.625  5.59
Pu  0.625  0.625  0.625  5.59
Pu  0.124  0.625  0.625  5.59


[2]
## PuH2F4 (PBE)

Data for a relaxed PuH2F4 crystal.

magnetization	4.0	μB/f.u.
DOS(E_F)	0.80	states/eV/atom
uncorrected energy	-6.49	eV per atom
calculated density	4.733	g/cm3
V	113.0	Å³/cell

Unit cell a=3.835 b=3.871 c=8.091 alpha=109.86 beta=90.00 gamma=90.00
Last column: magnetic moment on the atom in μB.
Element x y z (fractional)
Pu  0.000  0.500  0.000  4.13
H  0.500  0.415  0.460  0.00
H  0.500  0.585  0.540  0.00
F  0.500  0.672  0.157  -0.04
F  0.000  0.852  0.839  -0.04
F  0.500  0.328  0.843  -0.04
F  0.000  0.148  0.161  -0.04


[3]
## Tb2DyPd3 (PBE)

Data for a relaxed Tb2DyPd3 crystal.

distance to the lowest polymorph of the same formula	139	meV/atom
magnetization	0.0	μB/f.u.
DOS(E_F)	0.77	states/eV/atom
ΔE_f	-0.737	eV/atom
calculated density	9.267	g/cm3
V	286.6	Å³/cell

Unit cell a=5.879 b=8.058 c=7.003 alpha=106.18 beta=114.82 gamma=90.00
Element x y z (fractional)
Tb  0.716  0.584  0.334
Tb  0.618  0.084  0.334
Tb  0.382  0.916  0.666
Tb  0.284  0.416  0.666
Dy  0.953  0.750  0.000
Dy  0.047  0.250  0.000
Pd  0.551  0.250  0.000
Pd  0.449  0.750  0.000
Pd  0.113  0.083  0.332
Pd  0.781  0.417  0.668
Pd  0.219  0.583  0.332
Pd  0.887  0.917  0.668


[4]
## Pm3InO6 (PBE)

Data for a relaxed Pm3InO6 crystal.

distance to the lowest polymorph of the same formula	0	meV/atom
magnetization	0.0	μB/f.u.
DOS(E_F)	0.00	states/eV/atom
calculated density	6.671	g/cm3
E_form (uncorrected)	-2.9563	eV/atom
V	321.5	Å³/cell

Unit cell a=6.856 b=6.856 c=6.856 alpha=92.25 beta=92.25 gamma=92.25
Element x y z (fractional)
Pm  0.440  0.932  0.746
Pm  0.932  0.746  0.440
Pm  0.254  0.560  0.068
Pm  0.746  0.440  0.932
Pm  0.068  0.254  0.560
Pm  0.560  0.068  0.254
In  0.000  0.000  0.000
In  0.500  0.500  0.500
O  0.308  0.912  0.067
O  0.088  0.933  0.692
O  0.594  0.808  0.464
O  0.933  0.692  0.088
O  0.464  0.594  0.808
O  0.192  0.536  0.406
O  0.808  0.464  0.594
O  0.536  0.406  0.192
O  0.067  0.308  0.912
O  0.406  0.192  0.536
O  0.912  0.067  0.308
O  0.692  0.088  0.933


The lowest V belongs to which entry?
PuH2F4